(1)
Material: K3ReC4N4O2
Method: DFT, PBE
State: optimized geometry

Geometry as POSCAR:
```
K3ReC4N4O2
1.0
6.768 0.000 0.000
-3.184 6.540 0.000
-0.639 -1.424 8.592
K Re C N O
3 1 4 4 2
direct
0.000 0.000 0.000
0.343 0.684 0.482
0.657 0.316 0.518
0.000 0.000 0.500
0.037 0.230 0.739
0.166 0.202 0.344
0.834 0.798 0.656
0.963 0.770 0.261
0.097 0.327 0.635
0.267 0.319 0.263
0.733 0.681 0.737
0.903 0.673 0.365
0.262 0.011 0.572
0.738 0.989 0.428
```

Values from the calculation:
**Theoretical density**: 1.92 g cm⁻³
**VASP energy**: -0.26435 Ha/atom
**Formation energy (no corrections)**: -347 meV/atom
**Energy above the lowest structure with this stoichiometry**: 205 meV per atom
**Magnetic moment**: 0.00 μB/f.u.
**Symmetry**: No. 2

(2)
Material: PmPd2Au
Method: DFT, PBE
State: optimized geometry

Geometry as POSCAR:
```
PmPd2Au
1.0
0.000 3.392 3.392
3.392 0.000 3.392
3.392 3.392 0.000
Pm Pd Au
1 2 1
direct
0.000 0.000 0.000
0.250 0.250 0.250
0.750 0.750 0.750
0.500 0.500 0.500
```

Values from the calculation:
**Theoretical density**: 11.80 g cm⁻³
**VASP energy**: -0.19372 Ha/atom
**Calculated formation energy**: -2.67 eV per formula unit
**Energy above the lowest structure with this stoichiometry**: 82 meV per atom
**Magnetic moment**: 0.00 μB/f.u.
**Symmetry**: No. 225

(3)
Material: As2HSeI
Method: DFT, PBE
State: optimized geometry

Geometry as POSCAR:
```
As2HSeI
1.0
5.589 0.000 0.000
0.000 5.589 0.000
0.000 0.000 5.516
As H Se I
2 1 1 1
direct
0.000 0.500 0.000
0.500 0.000 0.000
0.000 0.000 0.500
0.500 0.500 0.500
0.500 0.500 0.000
```

Values from the calculation:
**Theoretical density**: 3.44 g cm⁻³
**VASP energy**: -0.07292 Ha/atom
**Energy above the lowest structure with this stoichiometry**: 810 meV per atom
**Magnetic moment**: 3.21 μB/f.u.
**Symmetry**: No. 123

(4)
Material: AlNiPt2
Method: DFT, PBE
State: optimized geometry

Geometry as POSCAR:
```
AlNiPt2
1.0
4.641 -1.423 0.000
4.641 1.423 0.000
-1.382 0.000 4.221
Al Ni Pt
1 1 2
direct
0.000 0.000 0.000
0.725 0.725 0.313
0.252 0.252 0.830
0.475 0.475 0.480
```

Values from the calculation:
**Theoretical density**: 14.18 g cm⁻³
**VASP energy**: -0.21990 Ha/atom
**Calculated formation energy**: -2.33 eV per formula unit
**Magnetic moment**: 0.00 μB/f.u.
**Symmetry**: No. 8

(5)
Material: Ac3AgPb3
Method: DFT, PBE
State: optimized geometry

Geometry as POSCAR:
```
Ac3AgPb3
1.0
9.808 0.000 0.000
-4.904 8.494 0.000
0.000 0.000 6.691
Ac Ag Pb
6 2 6
direct
0.072 0.674 0.250
0.326 0.398 0.250
0.398 0.072 0.750
0.602 0.928 0.250
0.674 0.602 0.750
0.928 0.326 0.750
0.333 0.667 0.750
0.667 0.333 0.250
0.067 0.727 0.750
0.273 0.339 0.750
0.339 0.067 0.250
0.661 0.933 0.750
0.727 0.661 0.250
0.933 0.273 0.250
```

Values from the calculation:
**Theoretical density**: 8.40 g cm⁻³
**VASP energy**: -0.14594 Ha/atom
**Calculated formation energy**: -1.50 eV per formula unit
**Energy above the lowest structure with this stoichiometry**: 270 meV per atom
**Magnetic moment**: 0.00 μB/f.u.
**Symmetry**: No. 176

(6)
Material: ZrAl
Method: DFT, PBE
State: optimized geometry

Geometry as POSCAR:
```
ZrAl
1.0
1.513 0.874 10.079
-1.513 0.874 10.079
0.000 -1.747 10.079
Zr Al
2 2
direct
0.119 0.119 0.119
0.881 0.881 0.881
0.370 0.370 0.370
0.630 0.630 0.630
```

Values from the calculation:
**Theoretical density**: 4.91 g cm⁻³
**VASP energy**: -0.22875 Ha/atom
**Calculated formation energy**: -0.16 eV per formula unit
**Magnetic moment**: 0.00 μB/f.u.
**Symmetry**: No. 166

(7)
Material: ScTc3Mo2
Method: DFT, PBE
State: optimized geometry

Geometry as POSCAR:
```
ScTc3Mo2
1.0
3.142 0.000 0.000
0.000 3.142 0.000
0.000 0.000 9.633
Sc Tc Mo
1 3 2
direct
0.000 0.000 0.000
0.500 0.500 0.183
0.500 0.500 0.500
0.500 0.500 0.817
0.000 0.000 0.334
0.000 0.000 0.666
```

Values from the calculation:
**Theoretical density**: 9.27 g cm⁻³
**VASP energy**: -0.36661 Ha/atom
**Calculated formation energy**: -0.76 eV per formula unit
**Magnetic moment**: 0.00 μB/f.u.
**Symmetry**: No. 123

(8)
Material: YRu2Au
Method: DFT, PBE
State: optimized geometry

Geometry as POSCAR:
```
YRu2Au
1.0
1.474 0.851 9.479
-1.474 0.851 9.479
0.000 -1.702 9.479
Y Ru Au
1 2 1
direct
0.000 0.000 0.000
0.492 0.492 0.492
0.757 0.757 0.757
0.242 0.242 0.242
```

Values from the calculation:
**Theoretical density**: 11.36 g cm⁻³
**VASP energy**: -0.24694 Ha/atom
**Calculated formation energy**: 1.41 eV per formula unit
**Energy above the lowest structure with this stoichiometry**: 401 meV per atom
**Magnetic moment**: 0.00 μB/f.u.
**Symmetry**: No. 160

(9)
Material: Sr2SiPt
Method: DFT, PBE
State: optimized geometry

Geometry as POSCAR:
```
Sr2SiPt
1.0
-1.924 2.556 5.460
1.924 -2.556 5.460
1.924 2.556 -5.460
Sr Si Pt
2 1 1
direct
0.000 0.000 0.000
0.706 0.206 0.500
0.294 0.794 0.500
0.421 0.421 0.000
```

Values from the calculation:
**Theoretical density**: 6.16 g cm⁻³
**VASP energy**: -0.15726 Ha/atom
**Formation energy (no corrections)**: -572 meV/atom
**Magnetic moment**: 0.00 μB/f.u.
**Symmetry**: No. 44

(10)
Material: CaNbIn2
Method: DFT, PBE
State: optimized geometry

Geometry as POSCAR:
```
CaNbIn2
1.0
-2.349 2.349 10.216
2.349 -2.349 10.216
2.349 2.349 -10.216
Ca Nb In
2 2 4
direct
0.000 0.000 0.000
0.750 0.250 0.500
0.250 0.750 0.500
0.500 0.500 0.000
0.187 0.625 0.062
0.375 0.437 0.562
0.563 0.125 0.938
0.875 0.813 0.438
```

Values from the calculation:
**Theoretical density**: 5.34 g cm⁻³
**VASP energy**: -0.14258 Ha/atom
**Calculated formation energy**: 2.03 eV per formula unit
**Magnetic moment**: 1.21 μB/f.u.
**Symmetry**: No. 122

(11)
Material: ZrCrH2
Method: DFT, PBE
State: optimized geometry

Geometry as POSCAR:
```
ZrCrH2
1.0
-2.017 2.017 4.949
2.017 -2.017 4.949
2.017 2.017 -4.949
Zr Cr H
2 2 4
direct
0.000 0.000 0.000
0.750 0.250 0.500
0.250 0.750 0.500
0.500 0.500 0.000
0.196 0.625 0.071
0.375 0.446 0.571
0.554 0.125 0.929
0.875 0.804 0.429
```

Values from the calculation:
**Theoretical density**: 5.99 g cm⁻³
**VASP energy**: -0.23051 Ha/atom
**Energy above the lowest structure with this stoichiometry**: 0 meV per atom
**Magnetic moment**: 0.00 μB/f.u.
**Symmetry**: No. 122

(12)
Material: ZrH6Pd5
Method: DFT, PBE
State: optimized geometry

Geometry as POSCAR:
```
ZrH6Pd5
1.0
2.617 -4.404 0.000
2.617 4.404 0.000
-1.597 0.000 4.904
Zr H Pd
1 6 5
direct
0.000 0.000 0.000
0.149 0.479 0.251
0.225 0.225 0.674
0.479 0.149 0.251
0.521 0.851 0.749
0.775 0.775 0.326
0.851 0.521 0.749
0.160 0.840 0.500
0.329 0.671 0.000
0.500 0.500 0.500
0.671 0.329 0.000
0.840 0.160 0.500
```

Values from the calculation:
**Theoretical density**: 9.25 g cm⁻³
**VASP energy**: -0.17578 Ha/atom
**Magnetic moment**: 0.00 μB/f.u.
**Symmetry**: No. 12

(13)
Material: Be2SiAu
Method: DFT, PBE
State: optimized geometry

Geometry as POSCAR:
```
Be2SiAu
1.0
3.303 0.000 0.000
0.000 3.303 0.000
0.000 0.000 4.757
Be Si Au
2 1 1
direct
0.000 0.000 0.000
0.500 0.500 0.261
0.000 0.000 0.478
0.500 0.500 0.780
```

Values from the calculation:
**Theoretical density**: 7.78 g cm⁻³
**VASP energy**: -0.14100 Ha/atom
**Formation energy (no corrections)**: 201 meV/atom
**Magnetic moment**: 0.00 μB/f.u.
**Symmetry**: No. 99

(14)
Material: V2TeRh2
Method: DFT, PBE
State: optimized geometry

Geometry as POSCAR:
```
V2TeRh2
1.0
7.503 0.000 0.000
0.000 7.503 0.000
0.000 0.000 2.878
V Te Rh
4 2 4
direct
0.157 0.343 0.000
0.343 0.843 0.000
0.657 0.157 0.000
0.843 0.657 0.000
0.000 0.000 0.500
0.500 0.500 0.500
0.133 0.633 0.500
0.367 0.133 0.500
0.633 0.867 0.500
0.867 0.367 0.500
```

Values from the calculation:
**Theoretical density**: 8.92 g cm⁻³
**VASP energy**: -0.26719 Ha/atom
**Formation energy (no corrections)**: -54 meV/atom
**Magnetic moment**: 1.79 μB/f.u.
**Symmetry**: No. 127

(15)
Material: CeAlAg2
Method: DFT, PBE
State: optimized geometry

Geometry as POSCAR:
```
CeAlAg2
1.0
8.702 0.000 0.000
0.000 7.056 0.000
0.000 0.000 5.646
Ce Al Ag
4 4 8
direct
0.062 0.250 0.152
0.438 0.750 0.652
0.562 0.250 0.348
0.938 0.750 0.848
0.107 0.750 0.345
0.393 0.250 0.845
0.607 0.750 0.155
0.893 0.250 0.655
0.176 0.048 0.627
0.176 0.452 0.627
0.324 0.548 0.127
0.324 0.952 0.127
0.676 0.048 0.873
0.676 0.452 0.873
0.824 0.548 0.373
0.824 0.952 0.373
```

Values from the calculation:
**Theoretical density**: 7.34 g cm⁻³
**VASP energy**: -0.14900 Ha/atom
**Calculated formation energy**: -0.84 eV per formula unit
**Energy above the lowest structure with this stoichiometry**: 3 meV per atom
**Magnetic moment**: 0.76 μB/f.u.
**Symmetry**: No. 62

(16)
Material: Tb11Ce4Ho9
Method: DFT, PBE
State: optimized geometry

Geometry as POSCAR:
```
Tb11Ce4Ho9
1.0
8.351 -12.468 0.000
8.351 12.468 0.000
0.000 0.000 3.640
Tb Ce Ho
11 4 9
direct
0.000 0.000 0.000
0.049 0.409 0.000
0.157 0.843 0.000
0.290 0.290 0.000
0.364 0.636 0.000
0.409 0.049 0.000
0.591 0.951 0.000
0.636 0.364 0.000
0.710 0.710 0.000
0.843 0.157 0.000
0.951 0.591 0.000
0.248 0.448 0.500
0.448 0.248 0.500
0.552 0.752 0.500
0.752 0.552 0.500
0.069 0.214 0.500
0.161 0.635 0.500
0.214 0.069 0.500
0.365 0.839 0.500
0.500 0.500 0.500
0.635 0.161 0.500
0.786 0.931 0.500
0.839 0.365 0.500
0.931 0.786 0.500
```

Values from the calculation:
**Theoretical density**: 8.31 g cm⁻³
**VASP energy**: -0.17382 Ha/atom
**Calculated formation energy**: 2.35 eV per formula unit
**Magnetic moment**: 4.03 μB/f.u.
**Symmetry**: No. 65

(17)
Material: As2IrCl
Method: DFT, PBE
State: optimized geometry

Geometry as POSCAR:
```
As2IrCl
1.0
-2.441 2.441 2.839
2.441 -2.441 2.839
2.441 2.441 -2.839
As Ir Cl
2 1 1
direct
0.250 0.750 0.500
0.750 0.250 0.500
0.000 0.000 0.000
0.500 0.500 0.000
```

Values from the calculation:
**Theoretical density**: 9.27 g cm⁻³
**VASP energy**: -0.16890 Ha/atom
**Formation energy (no corrections)**: 406 meV/atom
**Energy above the lowest structure with this stoichiometry**: 652 meV per atom
**Magnetic moment**: 0.00 μB/f.u.
**Symmetry**: No. 139

(18)
Material: LaGa2Ir
Method: DFT, PBE
State: optimized geometry

Geometry as POSCAR:
```
LaGa2Ir
1.0
2.137 1.234 5.362
-2.137 1.234 5.362
0.000 -2.468 5.362
La Ga Ir
1 2 1
direct
0.000 0.000 0.000
0.212 0.212 0.212
0.788 0.788 0.788
0.500 0.500 0.500
```

Values from the calculation:
**Theoretical density**: 9.21 g cm⁻³
**VASP energy**: -0.20696 Ha/atom
**Calculated formation energy**: -2.68 eV per formula unit
**Magnetic moment**: 0.00 μB/f.u.
**Symmetry**: No. 166

(19)
Material: Pr2YBi2N2
Method: DFT, PBE
State: optimized geometry

Geometry as POSCAR:
```
Pr2YBi2N2
1.0
-2.275 2.275 8.207
2.275 -2.275 8.207
2.275 2.275 -8.207
Pr Y Bi N
2 1 2 2
direct
0.093 0.093 0.000
0.907 0.907 0.000
0.500 0.500 0.000
0.286 0.286 0.000
0.714 0.714 0.000
0.000 0.500 0.500
0.500 0.000 0.500
```

Values from the calculation:
**Theoretical density**: 7.98 g cm⁻³
**VASP energy**: -0.24430 Ha/atom
**Formation energy (no corrections)**: -871 meV/atom
**Magnetic moment**: 0.00 μB/f.u.
**Symmetry**: No. 139

(20)
Material: YCoC
Method: DFT, PBE
State: optimized geometry

Geometry as POSCAR:
```
YCoC
1.0
3.619 0.000 0.000
0.000 3.619 0.000
0.000 0.000 6.962
Y Co C
2 2 2
direct
0.000 0.000 0.250
0.000 0.000 0.750
0.500 0.500 0.000
0.500 0.500 0.500
0.000 0.500 0.000
0.500 0.000 0.500
```

Values from the calculation:
**Theoretical density**: 5.82 g cm⁻³
**VASP energy**: -0.29077 Ha/atom
**Calculated formation energy**: -0.94 eV per formula unit
**Energy above the lowest structure with this stoichiometry**: 0 meV per atom
**Magnetic moment**: 0.05 μB/f.u.
**Symmetry**: No. 131

(21)
Material: TeOsBr2
Method: DFT, PBE
State: optimized geometry

Geometry as POSCAR:
```
TeOsBr2
1.0
4.907 0.000 0.000
0.000 3.853 0.000
-2.216 0.000 6.354
Te Os Br
1 1 2
direct
0.000 0.000 0.000
0.861 0.500 0.743
0.318 0.500 0.634
0.730 0.000 0.438
```

Values from the calculation:
**Theoretical density**: 6.60 g cm⁻³
**VASP energy**: -0.15738 Ha/atom
**Formation energy (no corrections)**: 147 meV/atom
**Energy above the lowest structure with this stoichiometry**: 80 meV per atom
**Magnetic moment**: 0.00 μB/f.u.
**Symmetry**: No. 6

(22)
Material: KPAu4
Method: DFT, PBE
State: optimized geometry

Geometry as POSCAR:
```
KPAu4
1.0
4.737 0.000 0.000
0.000 4.737 0.000
0.000 0.000 7.435
K P Au
1 1 4
direct
0.000 0.000 0.000
0.500 0.500 0.500
0.000 0.500 0.500
0.500 0.000 0.500
0.500 0.500 0.175
0.500 0.500 0.825
```

Values from the calculation:
**Theoretical density**: 8.54 g cm⁻³
**VASP energy**: -0.12404 Ha/atom
**Calculated formation energy**: -0.63 eV per formula unit
**Energy above the lowest structure with this stoichiometry**: 0 meV per atom
**Magnetic moment**: 0.00 μB/f.u.
**Symmetry**: No. 123

(23)
Material: Mg2CdTe
Method: DFT, PBE
State: optimized geometry

Geometry as POSCAR:
```
Mg2CdTe
1.0
-3.919 3.919 3.590
3.919 -3.919 3.590
3.919 3.919 -3.590
Mg Cd Te
4 2 2
direct
0.114 0.125 0.489
0.375 0.886 0.011
0.636 0.625 0.511
0.875 0.364 0.989
0.250 0.750 0.500
0.500 0.500 0.000
0.000 0.000 0.000
0.750 0.250 0.500
```

Values from the calculation:
**Theoretical density**: 4.35 g cm⁻³
**VASP energy**: -0.07343 Ha/atom
**Formation energy (no corrections)**: -187 meV/atom
**Energy above the lowest structure with this stoichiometry**: 91 meV per atom
**Magnetic moment**: 0.00 μB/f.u.
**Symmetry**: No. 122